NiSeO2 (PBE+U, optimized geometry); space group = P1, No. 1; total moment = 1.00 μB/f.u.
1.0
-4.999 3.452 -1.448
-0.147 -1.105 4.053
2.022 4.722 2.002
Ni O Se
2 4 2
Cartesian
-2.752 6.586 3.286
-1.524 3.543 4.146
-1.561 1.573 3.922
-4.260 3.684 1.333
-1.270 5.554 4.010
0.465 3.895 4.573
-2.824 4.430 2.120
-1.506 0.951 2.339

---

Sc2MnBrF (PBE+U, optimized geometry); space group = P4/mmm, No. 123; total moment = 0.00 μB/f.u.
1.0
4.804 0.000 0.000
0.000 4.197 0.000
0.000 0.000 4.804
Sc Mn Br F
2 1 1 1
Cartesian
0.000 0.000 2.402
2.402 0.000 0.000
0.000 0.000 0.000
2.402 2.099 2.402
0.000 2.099 0.000

---

The calculation returns the following total DFT energy (no corrections) values, one per record and in order: -4.554 -4.653 eV/atom.